#i
# KTcBi2

KTcBi2 after structural relaxation (PBE-GGA, Alexandria via LeMat-Bulk).

Unit cell a=6.956 b=6.956 c=8.960 alpha=67.16 beta=67.16 gamma=90.00
Fractional coordinates of all 8 atoms:
K (0.500, 0.500, 0.000)
K (0.250, 0.750, 0.500)
Bi (0.825, 0.125, 0.250)
Bi (0.925, 0.625, 0.250)
Bi (0.375, 0.175, 0.750)
Bi (0.875, 0.075, 0.750)
Tc (0.000, 0.000, 0.000)
Tc (0.750, 0.250, 0.500)

***

#ii
# KTcBi2

KTcBi2 after structural relaxation (PBE-GGA, Alexandria via LeMat-Bulk).

Unit cell a=5.150 b=5.150 c=5.150 alpha=60.00 beta=60.00 gamma=60.00
Fractional coordinates of all 4 atoms:
K (0.000, 0.000, 0.000)
Bi (0.250, 0.250, 0.250)
Bi (0.750, 0.750, 0.750)
Tc (0.500, 0.500, 0.500)

***

Most stable structure - #i; separation to the second - 122 meV/atom.